i | Compound: BeAlP
Source: Alexandria via LeMat-Bulk
Functional: PBE
Structure: relaxed

## Properties
Symmetry   P2_1/m
Magnetization   0.0 μB/cell

abc: 4.829 3.590 5.683
angles: 90.00 112.97 90.00
Element x y z (fractional)
Be1 0.124 0.250 0.173
Be2 0.876 0.750 0.827
Al1 0.330 0.750 0.579
Al2 0.670 0.250 0.421
P1 0.137 0.250 0.797
P2 0.863 0.750 0.203

***

ii | Compound: BeAlP
Source: Alexandria via LeMat-Bulk
Functional: PBE
Structure: relaxed

## Properties
Symmetry   F-43m
Magnetization   0.0 μB/cell

abc: 5.598 5.598 5.598
angles: 90.00 90.00 90.00
Element x y z (fractional)
Be1 0.000 0.000 0.000
Be2 0.000 0.500 0.500
Be3 0.500 0.000 0.500
Be4 0.500 0.500 0.000
Al1 0.250 0.250 0.750
Al2 0.250 0.750 0.250
Al3 0.750 0.250 0.250
Al4 0.750 0.750 0.750
P1 0.250 0.250 0.250
P2 0.250 0.750 0.750
P3 0.750 0.250 0.750
P4 0.750 0.750 0.250

***

Here are the energies relative to the best structure, in eV/atom: i 0.000; ii 0.340.

***

i | Compound: BeAl2P
Source: Alexandria via LeMat-Bulk
Functional: PBE
Structure: relaxed

## Properties
Symmetry   F-43m
Magnetization   0.0 μB/cell

abc: 6.132 6.132 6.132
angles: 90.00 90.00 90.00
Element x y z (fractional)
Be1 0.000 0.000 0.000
Be2 0.000 0.500 0.500
Be3 0.500 0.000 0.500
Be4 0.500 0.500 0.000
Al1 0.000 0.000 0.500
Al2 0.000 0.500 0.000
Al3 0.250 0.250 0.250
Al4 0.250 0.750 0.750
Al5 0.500 0.000 0.000
Al6 0.500 0.500 0.500
Al7 0.750 0.250 0.750
Al8 0.750 0.750 0.250
P1 0.250 0.250 0.750
P2 0.250 0.750 0.250
P3 0.750 0.250 0.250
P4 0.750 0.750 0.750

***

ii | Compound: BeAl2P
Source: Alexandria via LeMat-Bulk
Functional: PBE
Structure: relaxed

## Properties
Symmetry   I4/mmm
Magnetization   0.0 μB/cell

abc: 3.903 3.903 7.270
angles: 90.00 90.00 90.00
Element x y z (fractional)
Be1 0.000 0.000 0.000
Be2 0.500 0.500 0.500
Al1 0.000 0.500 0.250
Al2 0.000 0.500 0.750
Al3 0.500 0.000 0.250
Al4 0.500 0.000 0.750
P1 0.000 0.000 0.500
P2 0.500 0.500 0.000

***

Here are the energies relative to the best structure, in eV/atom: i 0.141; ii 0.000.

***

i | Compound: BeAlP3
Source: Alexandria via LeMat-Bulk
Functional: PBE
Structure: relaxed

## Properties
Symmetry   Pm-3m
Magnetization   0.0 μB/cell

abc: 4.587 4.587 4.587
angles: 90.00 90.00 90.00
Element x y z (fractional)
Be1 0.000 0.000 0.000
Al1 0.500 0.500 0.500
P1 0.000 0.500 0.500
P2 0.500 0.000 0.500
P3 0.500 0.500 0.000

***

ii | Compound: BeAlP3
Source: Alexandria via LeMat-Bulk
Functional: PBE
Structure: relaxed

## Properties
Symmetry   Pm-3m
Magnetization   0.0 μB/cell

abc: 4.261 4.261 4.261
angles: 90.00 90.00 90.00
Element x y z (fractional)
Be1 0.000 0.000 0.000
Al1 0.500 0.500 0.500
P1 0.000 0.000 0.500
P2 0.000 0.500 0.000
P3 0.500 0.000 0.000

***

Here are the energies relative to the best structure, in eV/atom: i 0.492; ii 0.000.

***

i | Compound: BeAlPS2
Source: Alexandria via LeMat-Bulk
Functional: PBE
Structure: relaxed

## Properties
Symmetry   P4/mmm
Magnetization   0.0 μB/cell

abc: 4.536 4.536 4.714
angles: 90.00 90.00 90.00
Element x y z (fractional)
Be1 0.000 0.000 0.000
Al1 0.500 0.500 0.500
P1 0.500 0.500 0.000
S1 0.000 0.500 0.500
S2 0.500 0.000 0.500

***

ii | Compound: BeAlPS2
Source: Alexandria via LeMat-Bulk
Functional: PBE
Structure: relaxed

## Properties
Symmetry   P4/mmm
Magnetization   0.0 μB/cell

abc: 4.537 4.537 3.979
angles: 90.00 90.00 90.00
Element x y z (fractional)
Be1 0.000 0.000 0.000
Al1 0.500 0.500 0.500
P1 0.000 0.000 0.500
S1 0.000 0.500 0.000
S2 0.500 0.000 0.000

***

Here are the energies relative to the best structure, in eV/atom: i 0.301; ii 0.000.

***

i | Compound: PaBeAl
Source: Alexandria via LeMat-Bulk
Functional: PBE
Structure: relaxed

## Properties
Symmetry   P-6m2
Magnetization   0.0 μB/cell

abc: 3.994 3.994 4.054
angles: 90.00 90.00 120.00
Element x y z (fractional)
Pa1 0.000 0.000 0.000
Be1 0.667 0.333 0.500
Al1 0.333 0.667 0.500

***

ii | Compound: PaBeAl
Source: Alexandria via LeMat-Bulk
Functional: PBE
Structure: relaxed

## Properties
Symmetry   I4mm
Magnetization   0.0 μB/cell

abc: 2.930 2.930 11.694
angles: 90.00 90.00 90.00
Element x y z (fractional)
Pa1 0.000 0.000 0.000
Pa2 0.500 0.500 0.500
Be1 0.000 0.000 0.674
Be2 0.500 0.500 0.174
Al1 0.000 0.000 0.295
Al2 0.500 0.500 0.795

***

iii | Compound: PaBeAl
Source: Alexandria via LeMat-Bulk
Functional: PBE
Structure: relaxed

## Properties
Symmetry   Cmcm
Magnetization   0.0 μB/cell

abc: 4.617 7.970 5.922
angles: 90.00 90.00 90.00
Element x y z (fractional)
Pa1 0.000 0.166 0.250
Pa2 0.000 0.834 0.750
Pa3 0.500 0.334 0.750
Pa4 0.500 0.666 0.250
Be1 0.000 0.168 0.750
Be2 0.000 0.832 0.250
Be3 0.500 0.332 0.250
Be4 0.500 0.668 0.750
Al1 0.000 0.500 0.000
Al2 0.000 0.500 0.500
Al3 0.500 0.000 0.000
Al4 0.500 0.000 0.500

***

iv | Compound: PaBeAl
Source: Alexandria via LeMat-Bulk
Functional: PBE
Structure: relaxed

## Properties
Symmetry   F-43m
Magnetization   0.0 μB/cell

abc: 6.138 6.138 6.138
angles: 90.00 90.00 90.00
Element x y z (fractional)
Pa1 0.000 0.000 0.000
Pa2 0.000 0.500 0.500
Pa3 0.500 0.000 0.500
Pa4 0.500 0.500 0.000
Be1 0.250 0.250 0.250
Be2 0.250 0.750 0.750
Be3 0.750 0.250 0.750
Be4 0.750 0.750 0.250
Al1 0.000 0.000 0.500
Al2 0.000 0.500 0.000
Al3 0.500 0.000 0.000
Al4 0.500 0.500 0.500

***

Here are the energies relative to the best structure, in eV/atom: i 0.000; ii 0.093; iii 0.100; iv 0.148.

***

i | Compound: BeAl2Pb
Source: Alexandria via LeMat-Bulk
Functional: PBE
Structure: relaxed

## Properties
Symmetry   Fm-3m
Magnetization   0.0 μB/cell

abc: 6.820 6.820 6.820
angles: 90.00 90.00 90.00
Element x y z (fractional)
Be1 0.000 0.000 0.000
Be2 0.000 0.500 0.500
Be3 0.500 0.000 0.500
Be4 0.500 0.500 0.000
Al1 0.250 0.250 0.250
Al2 0.250 0.250 0.750
Al3 0.250 0.750 0.250
Al4 0.250 0.750 0.750
Al5 0.750 0.250 0.250
Al6 0.750 0.250 0.750
Al7 0.750 0.750 0.250
Al8 0.750 0.750 0.750
Pb1 0.000 0.000 0.500
Pb2 0.000 0.500 0.000
Pb3 0.500 0.000 0.000
Pb4 0.500 0.500 0.500

***

ii | Compound: BeAl2Pb
Source: Alexandria via LeMat-Bulk
Functional: PBE
Structure: relaxed

## Properties
Symmetry   R-3m
Magnetization   0.0 μB/cell

abc: 3.961 3.961 17.678
angles: 90.00 90.00 120.00
Element x y z (fractional)
Be1 0.000 0.000 0.000
Be2 0.333 0.667 0.667
Be3 0.667 0.333 0.333
Al1 0.000 0.000 0.291
Al2 0.000 0.000 0.709
Al3 0.333 0.667 0.376
Al4 0.333 0.667 0.957
Al5 0.667 0.333 0.043
Al6 0.667 0.333 0.624
Pb1 0.000 0.000 0.500
Pb2 0.333 0.667 0.167
Pb3 0.667 0.333 0.833

***

iii | Compound: BeAl2Pb
Source: Alexandria via LeMat-Bulk
Functional: PBE
Structure: relaxed

## Properties
Symmetry   Cmmm
Magnetization   0.0 μB/cell

abc: 4.179 4.372 8.289
angles: 90.00 90.00 90.00
Element x y z (fractional)
Be1 0.000 0.000 0.000
Be2 0.500 0.500 0.000
Al1 0.000 0.500 0.175
Al2 0.000 0.500 0.825
Al3 0.500 0.000 0.175
Al4 0.500 0.000 0.825
Pb1 0.000 0.000 0.500
Pb2 0.500 0.500 0.500

***

Here are the energies relative to the best structure, in eV/atom: i 0.368; ii 0.000; iii 0.077.

***

i | Compound: BeAl2Pb
Source: Alexandria via LeMat-Bulk
Functional: PBE
Structure: relaxed

## Properties
Symmetry   Cm
Magnetization   0.0 μB/cell

abc: 8.448 3.156 6.356
angles: 90.00 110.87 90.00
Element x y z (fractional)
Be1 0.000 0.000 0.000
Be2 0.500 0.500 0.000
Al1 0.013 0.500 0.307
Al2 0.227 0.500 0.040
Al3 0.513 0.000 0.307
Al4 0.727 0.000 0.040
Pb1 0.327 0.000 0.616
Pb2 0.827 0.500 0.616

***

ii | Compound: BeAl2Pb
Source: Alexandria via LeMat-Bulk
Functional: PBE
Structure: relaxed

## Properties
Symmetry   I-4m2
Magnetization   0.0 μB/cell

abc: 4.403 4.403 7.897
angles: 90.00 90.00 90.00
Element x y z (fractional)
Be1 0.000 0.000 0.000
Be2 0.500 0.500 0.500
Al1 0.000 0.000 0.500
Al2 0.000 0.500 0.250
Al3 0.500 0.000 0.750
Al4 0.500 0.500 0.000
Pb1 0.000 0.500 0.750
Pb2 0.500 0.000 0.250

***

Here are the energies relative to the best structure, in eV/atom: i 0.000; ii 0.195.

***

i | Compound: BeAl2Pb
Source: Alexandria via LeMat-Bulk
Functional: PBE
Structure: relaxed

## Properties
Symmetry   I4/mmm
Magnetization   0.0 μB/cell

abc: 3.975 3.975 9.630
angles: 90.00 90.00 90.00
Element x y z (fractional)
Be1 0.000 0.000 0.000
Be2 0.500 0.500 0.500
Al1 0.000 0.500 0.250
Al2 0.000 0.500 0.750
Al3 0.500 0.000 0.250
Al4 0.500 0.000 0.750
Pb1 0.000 0.000 0.500
Pb2 0.500 0.500 0.000

***

ii | Compound: BeAl2Pb
Source: Alexandria via LeMat-Bulk
Functional: PBE
Structure: relaxed

## Properties
Symmetry   Cmmm
Magnetization   0.0 μB/cell

abc: 5.310 7.454 4.096
angles: 90.00 90.00 90.00
Element x y z (fractional)
Be1 0.000 0.000 0.000
Be2 0.500 0.500 0.000
Al1 0.000 0.177 0.500
Al2 0.000 0.823 0.500
Al3 0.500 0.323 0.500
Al4 0.500 0.677 0.500
Pb1 0.000 0.500 0.000
Pb2 0.500 0.000 0.000

***

iii | Compound: BeAl2Pb
Source: Alexandria via LeMat-Bulk
Functional: PBE
Structure: relaxed

## Properties
Symmetry   I-42d
Magnetization   0.0 μB/cell

abc: 4.645 4.645 15.931
angles: 90.00 90.00 90.00
Element x y z (fractional)
Be1 0.000 0.000 0.000
Be2 0.000 0.500 0.250
Be3 0.500 0.000 0.750
Be4 0.500 0.500 0.500
Al1 0.146 0.250 0.125
Al2 0.250 0.646 0.375
Al3 0.250 0.854 0.875
Al4 0.354 0.250 0.625
Al5 0.646 0.750 0.625
Al6 0.750 0.146 0.875
Al7 0.750 0.354 0.375
Al8 0.854 0.750 0.125
Pb1 0.000 0.000 0.500
Pb2 0.000 0.500 0.750
Pb3 0.500 0.000 0.250
Pb4 0.500 0.500 0.000

***

iv | Compound: BeAl2Pb
Source: Alexandria via LeMat-Bulk
Functional: PBE
Structure: relaxed

## Properties
Symmetry   C2/m
Magnetization   0.0 μB/cell

abc: 11.208 3.005 5.003
angles: 90.00 114.81 90.00
Element x y z (fractional)
Be1 0.000 0.000 0.000
Be2 0.500 0.500 0.000
Al1 0.205 0.500 0.207
Al2 0.295 0.000 0.793
Al3 0.705 0.000 0.207
Al4 0.795 0.500 0.793
Pb1 0.000 0.500 0.500
Pb2 0.500 0.000 0.500

***

Here are the energies relative to the best structure, in eV/atom: i 0.127; ii 0.000; iii 0.026; iv 0.045.